Record 1
# PBE Rb2La2IrO6, optimized geometry
data_Rb2La2IrO6
_chemical_formula_sum 'Rb2 La2 Ir1 O6'
_cell_length_a 6.056
_cell_length_b 6.056
_cell_length_c 6.888
_cell_angle_alpha 97.08
_cell_angle_beta 97.08
_cell_angle_gamma 119.02
_space_group_name_H-M_alt 'P 1'
_space_group_IT_number 1
loop_
_space_group_symop_operation_xyz
'x,y,z'
loop_
_atom_site_label
_atom_site_type_symbol
_atom_site_fract_x
_atom_site_fract_y
_atom_site_fract_z
Rb1 Rb 0.159 0.841 0.000
Rb2 Rb 0.841 0.159 0.000
La1 La 0.336 0.664 0.500
La2 La 0.664 0.336 0.500
Ir1 Ir 0.000 0.000 0.500
O1 O 0.042 0.342 0.663
O2 O 0.236 0.236 0.328
O3 O 0.342 0.042 0.663
O4 O 0.658 0.958 0.337
O5 O 0.764 0.764 0.672
O6 O 0.958 0.658 0.337
# Space-group type: C2/m
# E_form (uncorrected): -2.033 eV/atom
# VASP energy: -72.76 eV per cell
# Magnetization: 1.06 μB per cell

---

Record 2
# PBE Tb3Pb2C, optimized geometry
data_Tb3Pb2C
_chemical_formula_sum 'Tb6 Pb4 C2'
_cell_length_a 8.024
_cell_length_b 8.024
_cell_length_c 6.991
_cell_angle_alpha 101.62
_cell_angle_beta 101.62
_cell_angle_gamma 46.53
_space_group_name_H-M_alt 'P 1'
_space_group_IT_number 1
loop_
_space_group_symop_operation_xyz
'x,y,z'
loop_
_atom_site_label
_atom_site_type_symbol
_atom_site_fract_x
_atom_site_fract_y
_atom_site_fract_z
Tb1 Tb 0.067 0.933 0.750
Tb2 Tb 0.338 0.434 0.423
Tb3 Tb 0.434 0.338 0.923
Tb4 Tb 0.566 0.662 0.077
Tb5 Tb 0.662 0.566 0.577
Tb6 Tb 0.933 0.067 0.250
Pb1 Pb 0.131 0.249 0.079
Pb2 Pb 0.249 0.131 0.579
Pb3 Pb 0.751 0.869 0.421
Pb4 Pb 0.869 0.751 0.921
C1 C 0.435 0.565 0.750
C2 C 0.565 0.435 0.250
# Space-group type: C2/c
# VASP energy: -64.88 eV per cell
# Magnetization: 0.00 μB per cell
# DFT formation energy: -318 meV/atom

---

Record 3
# PBE Zn5Au3I12, optimized geometry
data_Zn5Au3I12
_chemical_formula_sum 'Zn20 Au12 I48'
_cell_length_a 15.293
_cell_length_b 15.293
_cell_length_c 15.293
_cell_angle_alpha 109.47
_cell_angle_beta 109.47
_cell_angle_gamma 109.47
_space_group_name_H-M_alt 'P 1'
_space_group_IT_number 1
loop_
_space_group_symop_operation_xyz
'x,y,z'
loop_
_atom_site_label
_atom_site_type_symbol
_atom_site_fract_x
_atom_site_fract_y
_atom_site_fract_z
Zn1 Zn 0.000 0.000 0.000
Zn2 Zn 0.000 0.000 0.500
Zn3 Zn 0.000 0.500 0.000
Zn4 Zn 0.000 0.500 0.500
Zn5 Zn 0.125 0.750 0.875
Zn6 Zn 0.125 0.875 0.250
Zn7 Zn 0.250 0.125 0.875
Zn8 Zn 0.250 0.625 0.375
Zn9 Zn 0.375 0.250 0.625
Zn10 Zn 0.375 0.625 0.750
Zn11 Zn 0.500 0.000 0.000
Zn12 Zn 0.500 0.000 0.500
Zn13 Zn 0.500 0.500 0.000
Zn14 Zn 0.500 0.500 0.500
Zn15 Zn 0.625 0.375 0.250
Zn16 Zn 0.625 0.750 0.375
Zn17 Zn 0.750 0.375 0.625
Zn18 Zn 0.750 0.875 0.125
Zn19 Zn 0.875 0.125 0.750
Zn20 Zn 0.875 0.250 0.125
Au1 Au 0.125 0.250 0.375
Au2 Au 0.125 0.375 0.750
Au3 Au 0.250 0.375 0.125
Au4 Au 0.250 0.875 0.625
Au5 Au 0.375 0.125 0.250
Au6 Au 0.375 0.750 0.125
Au7 Au 0.625 0.250 0.875
Au8 Au 0.625 0.875 0.750
Au9 Au 0.750 0.125 0.375
Au10 Au 0.750 0.625 0.875
Au11 Au 0.875 0.625 0.250
Au12 Au 0.875 0.750 0.625
I1 I 0.029 0.206 0.127
I2 I 0.029 0.323 0.902
I3 I 0.079 0.706 0.677
I4 I 0.079 0.873 0.402
I5 I 0.098 0.627 0.421
I6 I 0.098 0.971 0.677
I7 I 0.127 0.029 0.206
I8 I 0.127 0.598 0.921
I9 I 0.177 0.206 0.579
I10 I 0.177 0.471 0.598
I11 I 0.206 0.127 0.029
I12 I 0.206 0.579 0.177
I13 I 0.294 0.323 0.921
I14 I 0.294 0.471 0.373
I15 I 0.323 0.902 0.029
I16 I 0.323 0.921 0.294
I17 I 0.373 0.294 0.471
I18 I 0.373 0.579 0.902
I19 I 0.402 0.079 0.873
I20 I 0.402 0.823 0.529
I21 I 0.421 0.098 0.627
I22 I 0.421 0.823 0.794
I23 I 0.471 0.373 0.294
I24 I 0.471 0.598 0.177
I25 I 0.529 0.402 0.823
I26 I 0.529 0.627 0.706
I27 I 0.579 0.177 0.206
I28 I 0.579 0.902 0.373
I29 I 0.598 0.177 0.471
I30 I 0.598 0.921 0.127
I31 I 0.627 0.421 0.098
I32 I 0.627 0.706 0.529
I33 I 0.677 0.079 0.706
I34 I 0.677 0.098 0.971
I35 I 0.706 0.529 0.627
I36 I 0.706 0.677 0.079
I37 I 0.794 0.421 0.823
I38 I 0.794 0.873 0.971
I39 I 0.823 0.529 0.402
I40 I 0.823 0.794 0.421
I41 I 0.873 0.402 0.079
I42 I 0.873 0.971 0.794
I43 I 0.902 0.029 0.323
I44 I 0.902 0.373 0.579
I45 I 0.921 0.127 0.598
I46 I 0.921 0.294 0.323
I47 I 0.971 0.677 0.098
I48 I 0.971 0.794 0.873
# Space-group type: Ia-3d
# E_form (uncorrected): -0.121 eV/atom
# VASP energy: -148.87 eV per cell
# Magnetization: 0.00 μB per cell